Here is LuZrTc after structural relaxation from the Alexandria database. Energies are from PBE.

Output
Calculated volume in Å³/cell: 134.6
Formation energy in eV per atom: 0.871
E_tot in eV per atom: -6.9402

a = 2.936 Å, b = 2.936 Å, c = 15.614 Å
α = 90.00°, β = 90.00°, γ = 90.00°
Space group I4mm (No. 107)
Inequivalent atoms, fractional coordinates:
Lu1 0.000 0.000 0.000 (multiplicity 2)
Zr1 0.000 0.000 0.666 (multiplicity 2)
Tc1 0.000 0.000 0.830 (multiplicity 2)

Here is LuZr2Tc after structural relaxation from the Alexandria database. Energies are from PBE.

Output
Calculated volume in Å³/cell: 277.8
Formation energy in eV per atom: 0.186
E_tot in eV per atom: -7.8095

a = 3.2411 Å, b = 3.2411 Å, c = 30.5354 Å
α = 90.00°, β = 90.00°, γ = 120.00°
Space group R-3m (No. 166, hexagonal axes)
Inequivalent atoms, fractional coordinates:
Lu1 0.0000 0.0000 0.0000 (multiplicity 3)
Zr1 0.0000 0.0000 0.1020 (multiplicity 6)
Tc1 0.0000 0.0000 0.5000 (multiplicity 3)

Here is LuZr2Tc after structural relaxation from the Alexandria database. Energies are from PBE.

Output
Calculated volume in Å³/cell: 88.0
Formation energy in eV per atom: -0.110
E_tot in eV per atom: -8.1060

a = 3.346 Å, b = 3.346 Å, c = 7.856 Å
α = 90.00°, β = 90.00°, γ = 90.00°
Space group P4/mmm (No. 123)
Inequivalent atoms, fractional coordinates:
Lu1 0.000 0.000 0.000 (multiplicity 1)
Zr1 0.500 0.500 0.300 (multiplicity 2)
Tc1 0.000 0.000 0.500 (multiplicity 1)

Here is LuTe3 after structural relaxation from the Alexandria database. Energies are from PBE.

Output
Calculated volume in Å³/cell: 516.0
E_tot in eV per atom: -4.0045
Formation energy from raw total energies in kJ per mole of atoms: -50.0

a = 4.115 Å, b = 28.334 Å, c = 4.426 Å
α = 90.00°, β = 90.00°, γ = 90.00°
Space group Cmcm (No. 63)
Inequivalent atoms, fractional coordinates:
Lu1 0.000 0.050 0.250 (multiplicity 4)
Te1 0.000 0.160 0.250 (multiplicity 4)
Te2 0.000 0.317 0.250 (multiplicity 4)
Te3 0.000 0.447 0.250 (multiplicity 4)

Here is Lu2Te after structural relaxation from the Alexandria database. Energies are from PBE.

Output
Calculated volume in Å³/cell: 162.2
E_tot in eV per atom: -4.7876
Formation energy from raw total energies in kJ per mole of atoms: -70.1

a = 3.782 Å, b = 3.782 Å, c = 11.341 Å
α = 90.00°, β = 90.00°, γ = 90.00°
Space group I4/mmm (No. 139)
Inequivalent atoms, fractional coordinates:
Lu1 0.000 0.000 0.159 (multiplicity 4)
Te1 0.000 0.000 0.500 (multiplicity 2)

Here is Lu11Te4 after structural relaxation from the Alexandria database. Energies are from PBE.

Output
Calculated volume in Å³/cell: 2508.5
E_tot in eV per atom: -4.7883
Formation energy from raw total energies in kJ per mole of atoms: -61.3

a = 30.653 Å, b = 3.938 Å, c = 21.308 Å
α = 90.00°, β = 102.74°, γ = 90.00°
Space group C2/m (No. 12)
Inequivalent atoms, fractional coordinates:
Lu1 0.000 0.000 0.000 (multiplicity 2)
Lu2 0.032 0.000 0.445 (multiplicity 4)
Lu3 0.033 0.000 0.835 (multiplicity 4)
Lu4 0.035 0.500 0.307 (multiplicity 4)
Lu5 0.043 0.500 0.118 (multiplicity 4)
Lu6 0.062 0.500 0.586 (multiplicity 4)
Lu7 0.075 0.500 0.963 (multiplicity 4)
Lu8 0.106 0.500 0.779 (multiplicity 4)
Lu9 0.127 0.000 0.093 (multiplicity 4)
Lu10 0.130 0.000 0.369 (multiplicity 4)
Lu11 0.151 0.000 0.904 (multiplicity 4)
Lu12 0.159 0.500 0.255 (multiplicity 4)
Lu13 0.173 0.000 0.566 (multiplicity 4)
Lu14 0.204 0.000 0.782 (multiplicity 4)
Lu15 0.214 0.500 0.455 (multiplicity 4)
Lu16 0.242 0.000 0.344 (multiplicity 4)
Lu17 0.245 0.500 0.927 (multiplicity 4)
Te1 0.042 0.000 0.690 (multiplicity 4)
Te2 0.080 0.000 0.225 (multiplicity 4)
Te3 0.113 0.500 0.474 (multiplicity 4)
Te4 0.158 0.500 0.672 (multiplicity 4)
Te5 0.178 0.500 0.020 (multiplicity 4)
Te6 0.216 0.000 0.194 (multiplicity 4)

Here is LuTe3 after structural relaxation from the Alexandria database. Energies are from PBE.

Output
Calculated volume in Å³/cell: 119.7
E_tot in eV per atom: -3.9630
Formation energy from raw total energies in kJ per mole of atoms: -46.0

a = 4.304 Å, b = 6.181 Å, c = 4.499 Å
α = 90.00°, β = 90.00°, γ = 90.00°
Space group Pmm2 (No. 25)
Inequivalent atoms, fractional coordinates:
Lu1 0.000 0.000 0.000 (multiplicity 1)
Te1 0.000 0.500 0.279 (multiplicity 1)
Te2 0.500 0.000 0.464 (multiplicity 1)
Te3 0.500 0.500 0.794 (multiplicity 1)

Here is Lu7Te after structural relaxation from the Alexandria database. Energies are from PBE.

Output
Calculated volume in Å³/cell: 912.5
E_tot in eV per atom: -4.6531
Formation energy from raw total energies in kJ per mole of atoms: -29.4

a = 3.730 Å, b = 12.217 Å, c = 20.027 Å
α = 90.00°, β = 90.00°, γ = 90.00°
Space group Cmcm (No. 63)
Inequivalent atoms, fractional coordinates:
Lu1 0.000 0.020 0.110 (multiplicity 8)
Lu2 0.000 0.246 0.644 (multiplicity 8)
Lu3 0.000 0.358 0.012 (multiplicity 8)
Lu4 0.000 0.435 0.250 (multiplicity 4)
Te1 0.000 0.150 0.250 (multiplicity 4)